Compound: HfPbSe2
Source: Alexandria
Functional: SCAN
Structure: single point on PBEsol structure

```
HfPbSe2
1.0
3.927 0.000 0.000
-1.963 3.401 0.000
0.000 0.000 26.162
Hf Pb Se
3 3 6
direct
0.000 0.000 0.000 Hf
0.333 0.667 0.667 Hf
0.667 0.333 0.333 Hf
0.000 0.000 0.500 Pb
0.333 0.667 0.167 Pb
0.667 0.333 0.833 Pb
0.000 0.000 0.095 Se
0.000 0.000 0.905 Se
0.333 0.667 0.572 Se
0.333 0.667 0.762 Se
0.667 0.333 0.238 Se
0.667 0.333 0.428 Se
```

Properties
Final energy   -537.4 eV/cell
E_form (uncorrected)   -134 meV/atom
Magnetic moment   0.000 μB per formula unit